1.
Below is Ag2S2O7 after structural relaxation, with properties calculated at the GGA-PBE level.

## Properties
distance to the lowest polymorph of the same formula: 369 meV per atom
D(E_F): 0.085 states/eV/atom
volume: 209 Å³/f.u.
size of the total moment: 0.00 Bohr magnetons per cell
ΔE_f (raw): -0.598 eV/atom
space-group type: C2/m

Cell and atoms, written as POSCAR:
```
Ag2S2O7
1.0
11.177 -2.819 0.000
11.177 2.819 0.000
-0.490 0.000 3.313
Ag S O
2 2 7
direct
0.243 0.757 0.000
0.757 0.243 0.000
0.335 0.335 0.042
0.665 0.665 0.958
0.141 0.583 0.953
0.283 0.283 0.252
0.417 0.859 0.047
0.500 0.500 0.500
0.583 0.141 0.953
0.717 0.717 0.748
0.859 0.417 0.047
```

***

2.
Below is AgS4O after structural relaxation, with properties calculated at the GGA-PBE level.

## Properties
D(E_F): 0.268 states/eV/atom
volume: 158 Å³/f.u.
size of the total moment: 2.05 Bohr magnetons per cell
ΔE_f (raw): 0.276 eV/atom
space-group type: P2_1/m

Cell and atoms, written as POSCAR:
```
AgS4O
1.0
5.172 0.000 0.000
0.000 11.481 0.000
-0.473 0.000 5.323
Ag S O
2 8 2
direct
0.188 0.250 0.012
0.812 0.750 0.988
0.165 0.045 0.510
0.165 0.455 0.510
0.243 0.750 0.161
0.378 0.750 0.822
0.622 0.250 0.178
0.757 0.250 0.839
0.835 0.545 0.490
0.835 0.955 0.490
0.500 0.000 0.500
0.500 0.500 0.500
```

***

3.
Below is Ag2S2O7 after structural relaxation, with properties calculated at the GGA-PBE level.

## Properties
distance to the lowest polymorph of the same formula: 50 meV per atom
D(E_F): 0.000 states/eV/atom
volume: 162 Å³/f.u.
size of the total moment: 0.00 Bohr magnetons per cell
ΔE_f (raw): -0.916 eV/atom
space-group type: C2/m

Cell and atoms, written as POSCAR:
```
Ag2S2O7
1.0
3.578 -4.752 0.000
3.578 4.752 0.000
-0.947 0.000 4.752
Ag S O
2 2 7
direct
0.195 0.805 0.000
0.805 0.195 0.000
0.290 0.290 0.581
0.710 0.710 0.419
0.155 0.414 0.742
0.158 0.158 0.310
0.414 0.155 0.742
0.500 0.500 0.500
0.586 0.845 0.258
0.842 0.842 0.690
0.845 0.586 0.258
```

***

4.
Below is Ag2SO after structural relaxation, with properties calculated at the GGA-PBE level.

## Properties
distance to the lowest polymorph of the same formula: 142 meV per atom
D(E_F): 0.437 states/eV/atom
volume: 61 Å³/f.u.
size of the total moment: 2.00 Bohr magnetons per cell
ΔE_f (raw): 0.334 eV/atom
space-group type: Fm-3m

Cell and atoms, written as POSCAR:
```
Ag2SO
1.0
0.000 3.117 3.117
3.117 0.000 3.117
3.117 3.117 0.000
Ag S O
2 1 1
direct
0.250 0.250 0.250
0.750 0.750 0.750
0.000 0.000 0.000
0.500 0.500 0.500
```

***

5.
Below is AgSO4 after structural relaxation, with properties calculated at the GGA-PBE level.

## Properties
distance to the lowest polymorph of the same formula: 20 meV per atom
D(E_F): 0.377 states/eV/atom
volume: 91 Å³/f.u.
size of the total moment: 0.78 Bohr magnetons per cell
ΔE_f (raw): -0.887 eV/atom
space-group type: I-4

Cell and atoms, written as POSCAR:
```
AgSO4
1.0
-2.999 2.999 2.532
2.999 -2.999 2.532
2.999 2.999 -2.532
Ag S O
1 1 4
direct
0.000 0.000 0.000
0.250 0.750 0.500
0.213 0.746 0.790
0.254 0.044 0.467
0.577 0.787 0.533
0.956 0.423 0.210
```

***

6.
Below is Ag2S2O7 after structural relaxation, with properties calculated at the GGA-PBE level.

## Properties
distance to the lowest polymorph of the same formula: 0 meV per atom
D(E_F): 0.000 states/eV/atom
volume: 159 Å³/f.u.
size of the total moment: 0.00 Bohr magnetons per cell
ΔE_f (raw): -0.966 eV/atom
space-group type: P-1

Cell and atoms, written as POSCAR:
```
Ag2S2O7
1.0
7.005 0.000 0.000
0.829 7.068 0.000
3.085 0.543 6.417
Ag S O
4 4 14
direct
0.129 0.183 0.242
0.281 0.352 0.674
0.719 0.648 0.326
0.871 0.817 0.758
0.228 0.671 0.251
0.350 0.852 0.819
0.650 0.148 0.181
0.772 0.329 0.749
0.099 0.535 0.227
0.100 0.841 0.344
0.206 0.734 0.794
0.259 0.041 0.885
0.371 0.585 0.344
0.404 0.740 0.016
0.435 0.151 0.347
0.565 0.849 0.653
0.596 0.260 0.984
0.629 0.415 0.656
0.741 0.959 0.115
0.794 0.266 0.206
0.900 0.159 0.656
0.901 0.465 0.773
```

***

Copy entry 3 word for word.
Below is Ag2S2O7 after structural relaxation, with properties calculated at the GGA-PBE level.

## Properties
distance to the lowest polymorph of the same formula: 50 meV per atom
D(E_F): 0.000 states/eV/atom
volume: 162 Å³/f.u.
size of the total moment: 0.00 Bohr magnetons per cell
ΔE_f (raw): -0.916 eV/atom
space-group type: C2/m

Cell and atoms, written as POSCAR:
```
Ag2S2O7
1.0
3.578 -4.752 0.000
3.578 4.752 0.000
-0.947 0.000 4.752
Ag S O
2 2 7
direct
0.195 0.805 0.000
0.805 0.195 0.000
0.290 0.290 0.581
0.710 0.710 0.419
0.155 0.414 0.742
0.158 0.158 0.310
0.414 0.155 0.742
0.500 0.500 0.500
0.586 0.845 0.258
0.842 0.842 0.690
0.845 0.586 0.258
```

***

Among the records above, which one has the highest D(E_F)? Ag2SO

***

Among the records above, which one has the highest ΔE_f (raw)? Ag2SO

***

What is the size of the total moment in the first record? 0.00 Bohr magnetons per cell